[1]
VASP calculation (PBE-GGA) on FeNi2Mo after structural relaxation.

The calculation puts the density of states at the Fermi level at 8.9 states/eV per cell. As for the formation energy: 0.09 eV per atom. The calculation puts the energy relative to the lowest polymorph listed for this composition at 0.095 eV per atom. As for the spin magnetization: 2.3 μB per formula unit.

The structure belongs to space group C2/m (No. 12); the cell edges are 8.6551, 2.6455 and 4.3780 Å and the angles 90.00°, 101.35° and 90.00°. Symmetry generates all atoms from Fe at (0.0000, 0.0000, 0.0000), Ni at (0.2455, 0.5000, 0.2435) and Mo at (0.0000, 0.5000, 0.5000).


[2]
VASP calculation (PBE-GGA) on FeNi2Mo after structural relaxation.

The calculation puts the density of states at the Fermi level at 8.1 states/eV per cell. As for the formation energy: 0.06 eV per atom. The calculation puts the energy relative to the lowest polymorph listed for this composition at 0.069 eV per atom. As for the spin magnetization: 2.8 μB per formula unit.

The structure belongs to space group C2/m (No. 12); the cell edges are 5.1299, 7.4824 and 2.5779 Å and the angles 90.00°, 90.28° and 90.00°. Symmetry generates all atoms from Fe at (0.0000, 0.0000, 0.0000), Ni at (0.2500, 0.2500, 0.5000) and Mo at (0.0000, 0.5000, 0.0000).


[3]
VASP calculation (PBE-GGA) on Fe2NiMo after structural relaxation.

The calculation puts the density of states at the Fermi level at 7.6 states/eV per cell. As for the formation energy: 0.04 eV per atom. As for the spin magnetization: 2.9 μB per formula unit.

The structure belongs to space group I4/mmm (No. 139); the cell edges are 3.6557, 3.6557 and 7.2795 Å and the angles 90.00°, 90.00° and 90.00°. Symmetry generates all atoms from Fe at (0.0000, 0.5000, 0.2500), Ni at (0.0000, 0.0000, 0.0000) and Mo at (0.0000, 0.0000, 0.5000).